Record 1
First-principles (PBE with a Hubbard U) data for a relaxed WBrO3 crystal, as listed in the Alexandria database.

Output
Raw total energy   -3.83 eV per atom
Total magnetization   3.8 Bohr magnetons per cell

a b c (Å): 4.044 4.044 4.044
angles (deg): 90.00 90.00 90.00
Each line ends with the local moment (μB).
Element x y z (fractional)
O (0.500, 0.000, 0.000)  -0.04
O (0.000, 0.000, 0.500)  -0.04
O (0.000, 0.500, 0.000)  -0.07
Br (0.000, 0.000, 0.000)  0.01
W (0.500, 0.500, 0.500)  3.41


Record 2
First-principles (PBE with a Hubbard U) data for a relaxed NaFeN2O crystal, as listed in the Alexandria database.

Output
Raw total energy   -4.82 eV per atom
Total magnetization   0.0 Bohr magnetons per cell

a b c (Å): 3.564 4.110 3.564
angles (deg): 90.00 90.00 90.00
Element x y z (fractional)
Fe (0.000, 0.000, 0.000)
N (0.500, 0.000, 0.000)
N (0.000, 0.000, 0.500)
Na (0.500, 0.500, 0.500)
O (0.000, 0.500, 0.000)